(1)
Material: Ba4In3Pd
Method: DFT, PBE-GGA
State: relaxed

Values from the calculation:
Total moment in μB per formula unit: 0.00
E_form in eV per atom: -0.4154
Density in Mg/m³: 5.3
Calculated volume in Å³/cell: 314.9

Cell: 4.806 5.063 12.944 Å, 90.00 90.00 90.00°
Space group Pmm2 (No. 25)
One atom of each set of equivalent atoms:
Ba: 0.000 0.000 0.000 x1
Ba: 0.000 0.500 0.270 x1
Ba: 0.500 0.000 0.474 x1
Ba: 0.500 0.500 0.778 x1
In: 0.000 0.000 0.694 x1
In: 0.000 0.500 0.558 x1
In: 0.500 0.500 0.077 x1
Pd: 0.500 0.000 0.178 x1

(2)
Material: Ba3In4Pd2
Method: DFT, PBE-GGA
State: relaxed

Values from the calculation:
Total moment in μB per formula unit: 0.00
E_form in eV per atom: -0.4614
Density in Mg/m³: 6.4
Calculated volume in Å³/cell: 282.4

Cell: 4.923 6.756 9.717 Å, 71.16 89.98 68.69°
Space group P-1 (No. 2)
One atom of each set of equivalent atoms:
Ba: 0.000 0.000 0.000 x1
Ba: 0.389 0.224 0.629 x2
In: 0.101 0.799 0.650 x2
In: 0.292 0.417 0.936 x2
Pd: 0.306 0.389 0.230 x2

(3)
Material: Ba3In2Pd
Method: DFT, PBE-GGA
State: relaxed

Values from the calculation:
Total moment in μB per formula unit: 0.00
E_form in eV per atom: -0.4325
Density in Mg/m³: 5.4
Calculated volume in Å³/cell: 922.4

Cell: 11.249 11.924 7.254 Å, 90.00 108.54 90.00°
Space group C2/c (No. 15)
One atom of each set of equivalent atoms:
Ba: 0.000 0.088 0.250 x4
Ba: 0.162 0.386 0.062 x8
In: 0.162 0.306 0.579 x8
Pd: 0.000 0.196 0.750 x4

(4)
Material: BaInPd2
Method: DFT, PBE-GGA
State: relaxed

Values from the calculation:
Total moment in μB per formula unit: 0.00
E_form in eV per atom: -0.4178
Density in Mg/m³: 8.3
Calculated volume in Å³/cell: 93.3

Cell: 3.555 3.555 7.383 Å, 90.00 90.00 90.00°
Space group P4/mmm (No. 123)
One atom of each set of equivalent atoms:
Ba: 0.000 0.000 0.000 x1
In: 0.000 0.000 0.500 x1
Pd: 0.500 0.500 0.311 x2

(5)
Material: Ba3In2Pd3
Method: DFT, PBE-GGA
State: relaxed

Values from the calculation:
Total moment in μB per formula unit: 0.00
E_form in eV per atom: -0.5835
Density in Mg/m³: 6.4
Calculated volume in Å³/cell: 993.8

Cell: 8.699 16.125 7.084 Å, 90.00 90.00 90.00°
Space group Pnma (No. 62)
One atom of each set of equivalent atoms:
Ba: 0.034 0.107 0.156 x8
Ba: 0.112 0.750 0.376 x4
In: 0.182 0.090 0.635 x8
Pd: 0.125 0.547 0.415 x8
Pd: 0.235 0.250 0.451 x4

(6)
Material: BaIn2Pd2
Method: DFT, PBE-GGA
State: relaxed

Values from the calculation:
Total moment in μB per formula unit: 0.00
E_form in eV per atom: -0.3961
Density in Mg/m³: 8.4
Calculated volume in Å³/cell: 229.1

Cell: 8.436 8.436 3.220 Å, 90.00 90.00 90.00°
Space group P4/mbm (No. 127)
One atom of each set of equivalent atoms:
Ba: 0.000 0.000 0.000 x2
In: 0.131 0.369 0.500 x4
Pd: 0.160 0.660 0.000 x4

(7)
Material: Ba3In2Pd2
Method: DFT, PBE-GGA
State: relaxed

Values from the calculation:
Total moment in μB per formula unit: 0.00
E_form in eV per atom: -0.5297
Density in Mg/m³: 6.3
Calculated volume in Å³/cell: 900.0

Cell: 6.556 9.175 14.961 Å, 90.00 90.00 90.00°
Space group Pbcm (No. 57)
One atom of each set of equivalent atoms:
Ba: 0.152 0.106 0.094 x8
Ba: 0.347 0.737 0.750 x4
In: 0.171 0.089 0.750 x4
In: 0.368 0.750 0.000 x4
Pd: 0.384 0.032 0.589 x8

(8)
Material: BaIn4Pd6
Method: DFT, PBE-GGA
State: relaxed

Values from the calculation:
Total moment in μB per formula unit: 0.00
E_form in eV per atom: -0.5105
Density in Mg/m³: 9.0
Calculated volume in Å³/cell: 227.3

Cell: 7.7935 7.7935 4.3209 Å, 90.00 90.00 120.00°
Space group P-6m2 (No. 187)
One atom of each set of equivalent atoms:
Ba: 0.0000 0.0000 0.0000 x1
In: 0.3333 0.6667 0.0000 x1
In: 0.4001 0.2000 0.5000 x3
Pd: 0.2064 0.4127 0.5000 x3
Pd: 0.5358 0.0716 0.0000 x3

(9)
Material: Ba4InPd
Method: DFT, PBE-GGA
State: relaxed

Values from the calculation:
Total moment in μB per formula unit: 0.00
E_form in eV per atom: -0.3194
Density in Mg/m³: 4.8
Excess energy over the best structure of this formula in the dataset in meV per atom: 0
Calculated volume in Å³/cell: 1059.4

Cell: 10.556 15.402 7.442 Å, 90.00 118.89 90.00°
Space group C2/c (No. 15)
One atom of each set of equivalent atoms:
Ba: 0.117 0.171 0.080 x8
Ba: 0.210 0.434 0.301 x8
In: 0.000 0.367 0.750 x4
Pd: 0.000 0.000 0.250 x4

(10)
Material: BaIn9Pd2
Method: DFT, PBE-GGA
State: relaxed

Values from the calculation:
Total moment in μB per formula unit: 0.00
E_form in eV per atom: -0.2692
Density in Mg/m³: 7.6
Excess energy over the best structure of this formula in the dataset in meV per atom: 32
Calculated volume in Å³/cell: 1209.2

Cell: 12.033 12.033 8.351 Å, 90.00 90.00 90.00°
Space group I4_1/amd (No. 141, origin choice 2)
One atom of each set of equivalent atoms:
Ba: 0.000 0.250 0.375 x4
In: 0.000 0.250 0.875 x4
In: 0.122 0.054 0.685 x32
Pd: 0.000 0.000 0.000 x8

(11)
Material: Ba2In2Pd15
Method: DFT, PBE-GGA
State: relaxed

Values from the calculation:
Total moment in μB per formula unit: 0.00
E_form in eV per atom: -0.3155
Density in Mg/m³: 9.7
Calculated volume in Å³/cell: 1074.8

Cell: 9.4180 9.4180 13.9915 Å, 90.00 90.00 120.00°
Space group R-3m (No. 166, hexagonal axes)
One atom of each set of equivalent atoms:
Ba: 0.0000 0.0000 0.1489 x6
In: 0.0000 0.0000 0.3972 x6
Pd: 0.0000 0.2932 0.5000 x18
Pd: 0.0000 0.5000 0.0000 x9
Pd: 0.0043 0.5021 0.3463 x18

(12)
Material: Ba4InPd3
Method: DFT, PBE-GGA
State: relaxed

Values from the calculation:
Total moment in μB per formula unit: 0.00
E_form in eV per atom: -0.4777
Density in Mg/m³: 6.0
Calculated volume in Å³/cell: 274.1

Cell: 4.578 4.914 12.185 Å, 90.00 90.00 90.00°
Space group Pmm2 (No. 25)
One atom of each set of equivalent atoms:
Ba: 0.000 0.000 0.000 x1
Ba: 0.000 0.500 0.257 x1
Ba: 0.500 0.000 0.468 x1
Ba: 0.500 0.500 0.774 x1
In: 0.000 0.000 0.680 x1
Pd: 0.000 0.500 0.569 x1
Pd: 0.500 0.000 0.196 x1
Pd: 0.500 0.500 0.062 x1

> The highest E_form belongs to which entry?

BaIn9Pd2

> Which value of total moment does entry 10 give?

0.00 μB per formula unit